# 1
# CaNb2MoRu

A geometry-optimized CaNb2MoRu structure (PBE, Alexandria).

Output
Formation energy: 0.937 eV/atom

Cell: 4.889 4.889 4.846 Å, 90.00 90.00 90.00°
Space group P4/mmm (No. 123)
Symmetry-distinct sites (fractional):
Ca (0.000, 0.000, 0.000)
Nb (0.000, 0.500, 0.500)
Mo (0.500, 0.500, 0.000)
Ru (0.500, 0.500, 0.500)

# 2
# CaScNbMo2

A geometry-optimized CaScNbMo2 structure (PBE, Alexandria).

Output
Formation energy: 1.271 eV/atom

Cell: 4.783 4.783 5.315 Å, 90.00 90.00 90.00°
Space group P4/mmm (No. 123)
Symmetry-distinct sites (fractional):
Ca (0.000, 0.000, 0.000)
Sc (0.500, 0.500, 0.000)
Nb (0.000, 0.000, 0.500)
Mo (0.000, 0.500, 0.500)

# 3
# Ca2NbMoSe

A geometry-optimized Ca2NbMoSe structure (PBE, Alexandria).

Output
Offset from the most stable computed form: 0 kJ/mol of formula units
Formation energy from raw total energies: 3.93 eV per formula unit

Cell: 5.789 5.789 4.561 Å, 90.00 90.00 90.00°
Space group P4/mmm (No. 123)
Symmetry-distinct sites (fractional):
Ca (0.000, 0.500, 0.000)
Nb (0.000, 0.000, 0.000)
Mo (0.000, 0.000, 0.500)
Se (0.500, 0.500, 0.500)

# 4
# Ca2NbMoSe

A geometry-optimized Ca2NbMoSe structure (PBE, Alexandria).

Output
Offset from the most stable computed form: 278 kJ/mol of formula units
Formation energy from raw total energies: 6.82 eV per formula unit

Cell: 5.771 5.771 4.800 Å, 90.00 90.00 90.00°
Space group P4/mmm (No. 123)
Symmetry-distinct sites (fractional):
Ca (0.000, 0.500, 0.000)
Nb (0.000, 0.000, 0.000)
Mo (0.500, 0.500, 0.500)
Se (0.000, 0.000, 0.500)

# 5
# CaZrNb2Mo

A geometry-optimized CaZrNb2Mo structure (PBE, Alexandria).

Output
Formation energy: 0.787 eV/atom

Cell: 4.934 4.934 5.176 Å, 90.00 90.00 90.00°
Space group P4/mmm (No. 123)
Symmetry-distinct sites (fractional):
Ca (0.000, 0.000, 0.000)
Zr (0.500, 0.500, 0.000)
Nb (0.000, 0.500, 0.500)
Mo (0.500, 0.500, 0.500)

# 6
# CaNiMo

A geometry-optimized CaNiMo structure (PBE, Alexandria).

Output
Formation energy: 0.326 eV/atom
Offset from the most stable computed form: 45 kJ/mol of formula units

Cell: 3.386 4.756 14.111 Å, 90.00 90.00 90.00°
Space group Amm2 (No. 38)
Symmetry-distinct sites (fractional):
Ca (0.000, 0.000, 0.000)
Ca (0.000, 0.000, 0.335)
Ni (0.500, 0.000, 0.166)
Ni (0.500, 0.000, 0.811)
Mo (0.000, 0.000, 0.678)
Mo (0.500, 0.000, 0.557)

Calculated total magnetic moment in order - 0.00, 0.00, 0.00, 2.10, 0.00, 0.00 μB/f.u.
Calculated theoretical density in order - 6.06, 5.05, 3.78, 3.61, 5.44, 5.69 Mg/m³